## BeCoSO (PBE with a Hubbard U)

Data for a relaxed structure of BeCoSO.

```
data_BeCoSO
_cell_length_a 3.3116
_cell_length_b 3.3116
_cell_length_c 8.8903
_cell_angle_alpha 90.00
_cell_angle_beta 90.00
_cell_angle_gamma 90.00
_space_group_name_H-M_alt 'P 1'
_space_group_IT_number 1
_space_group_name_Hall 'P 1'
loop_
_atom_site_label
_atom_site_fract_x
_atom_site_fract_y
_atom_site_fract_z
_atom_site_occupancy
O1 0.7500 0.2500 0.5000 1
O2 0.2500 0.7500 0.5000 1
Co1 0.7500 0.7500 0.0929 1
Co2 0.2500 0.2500 0.9071 1
Be1 0.2500 0.2500 0.4827 1
Be2 0.7500 0.7500 0.5173 1
S1 0.7500 0.7500 0.8302 1
S2 0.2500 0.2500 0.1698 1
```

Values from the calculation:
Volume   97 Å³ per cell
Space-group type   P4/nmm, No. 129
Energy above the most stable polymorph in this dataset   268.5 meV/atom
E   -44.25 eV/cell